Below is a relaxed Ba2MgCu crystal, with properties calculated at the PBE level.

```
Ba2MgCu
1.0
6.666 -1.986 0.000
6.666 1.986 0.000
-2.624 0.000 5.321
Ba Mg Cu
2 1 1
Cartesian
0.000 0.000 0.000
0.706 0.000 3.657
4.135 0.000 2.056
9.146 0.000 1.235
```

Values from the calculation:
Fermi-level density of states   4.61 states/eV/f.u.
Total DFT energy (no corrections)   -9.298 eV per cell
Formation enthalpy at 0 K   5.8 kJ/mol of atoms
Volume   141 Å³/cell

Below is a relaxed BaMg6Cu crystal, with properties calculated at the PBE level.

```
BaMg6Cu
1.0
4.511 0.000 0.000
0.000 3.186 7.452
0.000 -3.186 7.452
Ba Mg Cu
1 6 1
Cartesian
0.000 0.000 0.000
0.000 0.000 6.055
0.000 -1.599 10.528
0.000 1.599 10.528
2.256 -1.650 4.960
2.256 0.000 8.711
2.256 1.650 4.960
2.256 0.000 2.710
```

Values from the calculation:
Fermi-level density of states   4.47 states/eV/f.u.
Total DFT energy (no corrections)   -14.947 eV per cell
Formation enthalpy at 0 K   7.7 kJ/mol of atoms
Volume   214 Å³/cell

Below is a relaxed Ba2MgCu crystal, with properties calculated at the PBE level.

```
Ba2MgCu
1.0
-4.631 4.631 3.764
4.631 -4.631 3.764
4.631 4.631 -3.764
Ba Mg Cu
4 2 2
Cartesian
6.946 1.819 -0.941
1.819 2.315 0.941
-2.315 2.812 2.823
2.812 2.315 4.706
4.631 0.000 1.882
0.000 0.000 3.764
0.000 0.000 0.000
0.000 4.631 1.882
```

Values from the calculation:
Fermi-level density of states   3.41 states/eV/f.u.
Total DFT energy (no corrections)   -17.176 eV per cell
Formation enthalpy at 0 K   22.9 kJ/mol of atoms
Volume   323 Å³/cell

Below is a relaxed BaMg2Cu2 crystal, with properties calculated at the PBE level.

```
BaMg2Cu2
1.0
8.188 0.000 0.000
0.000 8.188 0.000
0.000 0.000 3.427
Ba Mg Cu
2 4 4
Cartesian
0.000 0.000 0.000
4.094 4.094 0.000
1.216 2.878 1.714
2.878 6.972 1.714
5.310 1.216 1.714
6.972 5.310 1.714
0.957 5.051 0.000
3.137 0.957 0.000
5.051 7.231 0.000
7.231 3.137 0.000
```

Values from the calculation:
Fermi-level density of states   2.99 states/eV/f.u.
Total DFT energy (no corrections)   -25.378 eV per cell
Formation enthalpy at 0 K   11.9 kJ/mol of atoms
Volume   230 Å³/cell

Below is a relaxed Ba2MgCu crystal, with properties calculated at the PBE level.

```
Ba2MgCu
1.0
5.922 0.000 0.000
0.000 5.922 0.000
0.000 0.000 4.155
Ba Mg Cu
2 1 1
Cartesian
0.000 2.961 0.000
2.961 0.000 0.000
0.000 0.000 2.078
2.961 2.961 2.078
```

Values from the calculation:
Fermi-level density of states   4.21 states/eV/f.u.
Total DFT energy (no corrections)   -9.256 eV per cell
Formation enthalpy at 0 K   6.8 kJ/mol of atoms
Volume   146 Å³/cell

Below is a relaxed Ba2MgCu crystal, with properties calculated at the PBE level.

```
Ba2MgCu
1.0
4.924 0.000 0.000
0.000 4.881 0.000
-2.457 0.000 6.474
Ba Mg Cu
2 1 1
Cartesian
0.000 0.000 0.000
-0.002 2.441 3.656
2.464 2.441 1.096
2.469 0.000 2.422
```

Values from the calculation:
Fermi-level density of states   2.91 states/eV/f.u.
Total DFT energy (no corrections)   -9.492 eV per cell
Formation enthalpy at 0 K   1.1 kJ/mol of atoms
Volume   156 Å³/cell

Below is a relaxed BaMg2Cu2 crystal, with properties calculated at the PBE level.

```
BaMg2Cu2
1.0
-2.451 2.451 5.195
2.451 -2.451 5.195
2.451 2.451 -5.195
Ba Mg Cu
1 2 2
Cartesian
0.000 0.000 0.000
0.000 0.000 3.634
0.000 0.000 6.755
2.451 0.000 2.597
0.000 2.451 2.597
```

Values from the calculation:
Fermi-level density of states   2.85 states/eV/f.u.
Total DFT energy (no corrections)   -13.245 eV per cell
Formation enthalpy at 0 K   1.2 kJ/mol of atoms
Volume   125 Å³/cell

Below is a relaxed Ba2MgCu crystal, with properties calculated at the PBE level.

```
Ba2MgCu
1.0
3.962 -2.286 0.000
3.962 2.286 0.000
-0.012 0.000 9.236
Ba Mg Cu
2 1 1
Cartesian
0.000 0.000 0.000
5.289 0.000 5.297
2.650 0.000 2.655
0.014 0.000 3.294
```

Values from the calculation:
Fermi-level density of states   4.32 states/eV/f.u.
Total DFT energy (no corrections)   -9.398 eV per cell
Formation enthalpy at 0 K   3.3 kJ/mol of atoms
Volume   167 Å³/cell

Below is a relaxed BaMg2Cu2 crystal, with properties calculated at the PBE level.

```
BaMg2Cu2
1.0
-2.224 2.224 6.070
2.224 -2.224 6.070
2.224 2.224 -6.070
Ba Mg Cu
1 2 2
Cartesian
0.000 0.000 0.000
2.224 0.000 3.035
0.000 2.224 3.035
0.000 0.000 4.750
0.000 0.000 7.390
```

Values from the calculation:
Fermi-level density of states   2.72 states/eV/f.u.
Total DFT energy (no corrections)   -13.565 eV per cell
Formation enthalpy at 0 K   -5.0 kJ/mol of atoms
Volume   120 Å³/cell

Below is a relaxed Ba2MgCu crystal, with properties calculated at the PBE level.

```
Ba2MgCu
1.0
-2.487 2.487 5.865
2.487 -2.487 5.865
2.487 2.487 -5.865
Ba Mg Cu
2 1 1
Cartesian
0.000 0.000 0.000
0.000 2.487 2.933
0.000 0.000 5.865
2.487 0.000 2.933
```

Values from the calculation:
Fermi-level density of states   3.28 states/eV/f.u.
Total DFT energy (no corrections)   -8.723 eV per cell
Formation enthalpy at 0 K   19.6 kJ/mol of atoms
Volume   145 Å³/cell

Below is a relaxed BaMg2Cu2 crystal, with properties calculated at the PBE level.

```
BaMg2Cu2
1.0
8.414 0.000 0.000
0.000 8.414 0.000
0.000 0.000 3.080
Ba Mg Cu
2 4 4
Cartesian
0.000 0.000 0.000
4.207 4.207 0.000
1.032 3.175 0.000
3.175 7.381 0.000
5.239 1.032 0.000
7.381 5.239 0.000
1.397 5.604 1.540
2.810 1.397 1.540
5.604 7.017 1.540
7.017 2.810 1.540
```

Values from the calculation:
Fermi-level density of states   2.68 states/eV/f.u.
Total DFT energy (no corrections)   -25.408 eV per cell
Formation enthalpy at 0 K   11.6 kJ/mol of atoms
Volume   218 Å³/cell

Below is a relaxed Ba4Mg2Cu crystal, with properties calculated at the PBE level.

```
Ba4Mg2Cu
1.0
-3.064 3.064 9.191
3.064 -3.064 9.191
3.064 3.064 -9.191
Ba Mg Cu
4 2 1
Cartesian
3.064 0.000 0.000
0.000 0.000 3.323
0.000 3.064 0.000
0.000 0.000 15.059
0.000 0.000 7.044
0.000 0.000 11.338
0.000 0.000 0.000
```

Values from the calculation:
Fermi-level density of states   10.13 states/eV/f.u.
Total DFT energy (no corrections)   -14.125 eV per cell
Formation enthalpy at 0 K   11.7 kJ/mol of atoms
Volume   345 Å³/cell

Below is a relaxed BaMgCu2Mo crystal, with properties calculated at the PBE level.

```
BaMgCu2Mo
1.0
5.309 0.000 0.000
0.000 5.309 0.000
0.000 0.000 5.362
Ba Mg Cu Mo
1 1 2 1
Cartesian
0.000 0.000 0.000
2.655 2.655 2.681
0.000 2.655 0.000
2.655 0.000 0.000
0.000 0.000 2.681
```

Values from the calculation:
Fermi-level density of states   4.83 states/eV/f.u.
Total DFT energy (no corrections)   -13.018 eV per cell
Formation enthalpy at 0 K   183.8 kJ/mol of atoms
Volume   151 Å³/cell

Below is a relaxed BaNaMg2Cu crystal, with properties calculated at the PBE level.

```
BaNaMg2Cu
1.0
5.158 0.000 0.000
0.000 5.158 0.000
0.000 0.000 5.624
Ba Na Mg Cu
1 1 2 1
Cartesian
0.000 0.000 0.000
2.579 2.579 0.000
0.000 2.579 2.812
2.579 0.000 2.812
2.579 2.579 2.812
```

Values from the calculation:
Fermi-level density of states   3.64 states/eV/f.u.
Total DFT energy (no corrections)   -10.196 eV per cell
Formation enthalpy at 0 K   6.4 kJ/mol of atoms
Volume   150 Å³/cell

Below is a relaxed BaNaMg2Cu crystal, with properties calculated at the PBE level.

```
BaNaMg2Cu
1.0
5.272 0.000 0.000
0.000 5.272 0.000
0.000 0.000 5.850
Ba Na Mg Cu
1 1 2 1
Cartesian
0.000 0.000 0.000
2.636 2.636 0.000
0.000 2.636 2.925
2.636 0.000 2.925
0.000 0.000 2.925
```

Values from the calculation:
Fermi-level density of states   3.25 states/eV/f.u.
Total DFT energy (no corrections)   -10.107 eV per cell
Formation enthalpy at 0 K   8.1 kJ/mol of atoms
Volume   163 Å³/cell

Below is a relaxed BaNaMg2Cu crystal, with properties calculated at the PBE level.

```
BaNaMg2Cu
1.0
6.635 0.000 0.000
0.000 6.635 0.000
0.000 0.000 5.711
Ba Na Mg Cu
1 1 2 1
Cartesian
0.000 0.000 0.000
3.317 3.317 2.856
0.000 3.317 0.000
3.317 0.000 0.000
0.000 0.000 2.856
```

Values from the calculation:
Fermi-level density of states   3.68 states/eV/f.u.
Total DFT energy (no corrections)   -6.404 eV per cell
Formation enthalpy at 0 K   79.6 kJ/mol of atoms
Volume   251 Å³/cell

Below is a relaxed BaMgNbCu2 crystal, with properties calculated at the PBE level.

```
BaMgNbCu2
1.0
5.003 0.000 0.000
0.000 5.003 0.000
0.000 0.000 5.398
Ba Mg Nb Cu
1 1 1 2
Cartesian
0.000 0.000 0.000
2.502 2.502 0.000
2.502 2.502 2.699
0.000 2.502 2.699
2.502 0.000 2.699
```

Values from the calculation:
Fermi-level density of states   5.58 states/eV/f.u.
Total DFT energy (no corrections)   -18.445 eV per cell
Formation enthalpy at 0 K   64.3 kJ/mol of atoms
Volume   135 Å³/cell

Below is a relaxed BaMg2CuNi crystal, with properties calculated at the PBE level.

```
BaMg2CuNi
1.0
4.898 0.000 0.000
0.000 4.898 0.000
0.000 0.000 5.016
Ba Mg Cu Ni
1 2 1 1
Cartesian
0.000 0.000 0.000
0.000 2.449 2.508
2.449 0.000 2.508
2.449 2.449 0.000
2.449 2.449 2.508
```

Values from the calculation:
Fermi-level density of states   2.88 states/eV/f.u.
Total DFT energy (no corrections)   -14.744 eV per cell
Formation enthalpy at 0 K   4.7 kJ/mol of atoms
Volume   120 Å³/cell

Below is a relaxed BaMg2CuNi crystal, with properties calculated at the PBE level.

```
BaMg2CuNi
1.0
4.916 0.000 0.000
0.000 4.916 0.000
0.000 0.000 4.992
Ba Mg Cu Ni
1 2 1 1
Cartesian
0.000 0.000 0.000
0.000 2.458 2.496
2.458 0.000 2.496
2.458 2.458 2.496
2.458 2.458 0.000
```

Values from the calculation:
Fermi-level density of states   4.41 states/eV/f.u.
Total DFT energy (no corrections)   -14.081 eV per cell
Formation enthalpy at 0 K   17.5 kJ/mol of atoms
Volume   121 Å³/cell

Below is a relaxed BaMgCuO3 crystal, with properties calculated at the PBE level.

```
BaMgCuO3
1.0
6.888 0.000 0.000
0.000 3.293 0.000
-2.219 0.000 7.915
Ba Mg Cu O
2 2 2 6
Cartesian
0.930 0.823 1.807
3.739 2.470 6.108
0.435 2.470 7.031
4.234 0.823 0.884
-0.434 0.823 4.870
5.103 2.470 3.045
-1.001 0.823 6.760
0.164 2.470 3.951
2.877 2.470 1.134
1.792 0.823 6.781
4.505 0.823 3.964
5.669 2.470 1.155
```

Values from the calculation:
Fermi-level density of states   2.60 states/eV/f.u.
Total DFT energy (no corrections)   -65.936 eV per cell
Formation energy (no corrections)   -1.747 eV per atom
Volume   180 Å³/cell